No. 1
VASP calculation (PBE) on a relaxed Ni2HgGe crystal.

```
4
Lattice="-1.519 2.543 0.069 -2.055 -1.274 1.713 3.323 1.839 5.353" Properties=species:S:1:pos:R:3 pbc="T T T"
Ge -0.125 1.554 3.568
Ni 2.329 1.289 3.751
Ni 0.994 0.550 1.602
Hg -1.787 0.635 0.891
```

Properties
**Density**: 11.26 g/cm³
**SG**: P4/mmm, No. 123
**Size of the total moment**: 0.000 μB per formula unit
**Volume**: 14.40 A^3/atom
**ΔE_f**: -0.017 eV/atom

No. 2
VASP calculation (PBE) on a relaxed KMg4P3 crystal.

```
8
Lattice="-1.329 1.579 -3.771 1.545 -1.618 -3.671 -8.702 -7.907 -2.694" Properties=species:S:1:pos:R:3 pbc="T T T"
P -5.902 -5.543 -7.592
P 0.000 0.000 0.000
P -2.584 -2.403 -2.546
Mg -2.083 -2.107 -7.499
Mg -7.752 -7.208 -7.637
Mg -6.403 -5.838 -2.638
Mg -0.733 -0.737 -2.501
K -4.243 -3.973 -5.069
```

Properties
**Density**: 2.01 g/cm³
**SG**: R-3m, No. 166
**Size of the total moment**: 0.000 μB per formula unit
**Volume**: 23.62 A^3/atom
**ΔE_f**: -0.645 eV/atom

No. 3
VASP calculation (PBE) on a relaxed Pm6Pr3Mg2 crystal.

```
11
Lattice="5.336 -2.106 2.520 -1.720 8.178 2.264 3.605 5.013 13.554" Properties=species:S:1:pos:R:3 pbc="T T T"
Mg 3.872 8.370 14.088
Mg 3.349 2.715 4.251
Pm 4.755 3.557 10.346
Pm 0.396 4.289 4.472
Pm 6.824 6.796 13.867
Pm 4.625 7.127 10.902
Pm 2.466 7.528 7.992
Pm 2.596 3.958 7.436
Pr 0.417 7.900 5.159
Pr 0.000 0.000 0.000
Pr 6.804 3.185 13.179
```

Properties
**Density**: 6.04 g/cm³
**SG**: P-1, No. 2
**Size of the total moment**: 0.000 μB per formula unit
**Volume**: 33.51 A^3/atom
**ΔE_f**: 0.038 eV/atom

No. 4
VASP calculation (PBE) on a relaxed LiPu4Pd4 crystal.

```
18
Lattice="-2.521 -1.869 1.740 7.111 -7.429 2.324 2.392 5.081 8.923" Properties=species:S:1:pos:R:3 pbc="T T T"
Pu 3.371 -4.299 3.967
Pu 2.376 -1.831 1.476
Pu 3.611 0.082 9.019
Pu 5.869 -3.941 7.970
Pu 4.709 -7.108 6.588
Pu 7.127 -0.517 9.770
Pu -0.248 1.023 8.139
Pu 1.114 -0.276 5.017
Li 0.000 0.000 0.000
Li 3.491 -2.108 6.493
Pd 3.817 0.521 6.090
Pd 7.179 -3.408 10.440
Pd -0.196 -0.808 2.547
Pd 4.916 -6.670 3.659
Pd 5.817 -1.049 7.301
Pd 2.066 2.453 9.327
Pd 5.686 -2.869 5.157
Pd 3.687 -1.299 3.946
```

Properties
**Density**: 11.73 g/cm³
**SG**: I4/m, No. 87
**Size of the total moment**: 23.017 μB per formula unit
**Volume**: 22.16 A^3/atom
**ΔE_f**: -0.272 eV/atom

No. 5
VASP calculation (PBE) on a relaxed AcTm2RuN4 crystal.

```
16
Lattice="3.490 0.000 0.000 -1.745 5.911 0.000 0.000 0.000 11.582" Properties=species:S:1:pos:R:3 pbc="T T T"
Tm 1.745 1.552 5.291
Tm 1.745 1.552 0.500
Tm 0.000 4.359 11.081
Tm 0.000 4.359 6.291
Ru 0.000 1.828 2.895
Ru 1.745 4.083 8.686
Ac 0.000 1.260 8.686
Ac 1.745 4.652 2.895
N 1.745 2.802 7.163
N 1.745 0.844 2.895
N 0.000 3.109 1.372
N 0.000 0.000 0.000
N 1.745 2.802 10.209
N 0.000 5.067 8.686
N 0.000 0.000 5.791
N 0.000 3.109 4.419
```

Properties
**Density**: 10.04 g/cm³
**E_form (uncorrected)**: -23.85 kcal/mol of atoms
**SG**: Cmcm, No. 63
**Size of the total moment**: 0.000 μB per formula unit
**Volume**: 14.93 A^3/atom

No. 6
VASP calculation (PBE) on a relaxed LaMgTa2 crystal.

```
4
Lattice="2.938 0.000 0.000 0.000 2.938 0.000 0.000 0.000 10.335" Properties=species:S:1:pos:R:3 pbc="T T T"
Ta 0.000 0.000 0.081
Ta 1.469 1.469 2.289
Mg 1.469 1.469 8.076
La 0.000 0.000 5.057
```

Properties
**Density**: 9.77 g/cm³
**SG**: P4mm, No. 99
**Size of the total moment**: 0.000 μB per formula unit
**Volume**: 22.31 A^3/atom
**ΔE_f**: 0.340 eV/atom

What is the formula in the first record? Ni2HgGe

Copy entry 4 word for word.
VASP calculation (PBE) on a relaxed LiPu4Pd4 crystal.

```
18
Lattice="-2.521 -1.869 1.740 7.111 -7.429 2.324 2.392 5.081 8.923" Properties=species:S:1:pos:R:3 pbc="T T T"
Pu 3.371 -4.299 3.967
Pu 2.376 -1.831 1.476
Pu 3.611 0.082 9.019
Pu 5.869 -3.941 7.970
Pu 4.709 -7.108 6.588
Pu 7.127 -0.517 9.770
Pu -0.248 1.023 8.139
Pu 1.114 -0.276 5.017
Li 0.000 0.000 0.000
Li 3.491 -2.108 6.493
Pd 3.817 0.521 6.090
Pd 7.179 -3.408 10.440
Pd -0.196 -0.808 2.547
Pd 4.916 -6.670 3.659
Pd 5.817 -1.049 7.301
Pd 2.066 2.453 9.327
Pd 5.686 -2.869 5.157
Pd 3.687 -1.299 3.946
```

Properties
**Density**: 11.73 g/cm³
**SG**: I4/m, No. 87
**Size of the total moment**: 23.017 μB per formula unit
**Volume**: 22.16 A^3/atom
**ΔE_f**: -0.272 eV/atom

Please write out number 3 again, unchanged.
VASP calculation (PBE) on a relaxed Pm6Pr3Mg2 crystal.

```
11
Lattice="5.336 -2.106 2.520 -1.720 8.178 2.264 3.605 5.013 13.554" Properties=species:S:1:pos:R:3 pbc="T T T"
Mg 3.872 8.370 14.088
Mg 3.349 2.715 4.251
Pm 4.755 3.557 10.346
Pm 0.396 4.289 4.472
Pm 6.824 6.796 13.867
Pm 4.625 7.127 10.902
Pm 2.466 7.528 7.992
Pm 2.596 3.958 7.436
Pr 0.417 7.900 5.159
Pr 0.000 0.000 0.000
Pr 6.804 3.185 13.179
```

Properties
**Density**: 6.04 g/cm³
**SG**: P-1, No. 2
**Size of the total moment**: 0.000 μB per formula unit
**Volume**: 33.51 A^3/atom
**ΔE_f**: 0.038 eV/atom